Entry 1:
Density functional theory data (GGA-PBE) for PmPr8Nd4 after structural relaxation.

```
data_PmPr8Nd4
_chemical_formula_sum 'Pm1 Pr8 Nd4'
_symmetry_space_group_name_H-M 'P 1'
_symmetry_Int_Tables_number 1
_cell_length_a 11.9877
_cell_length_b 11.9877
_cell_length_c 7.9701
_cell_angle_alpha 90.00
_cell_angle_beta 138.77
_cell_angle_gamma 120.00
loop_
_symmetry_equiv_pos_as_xyz
'x,y,z'
loop_
_atom_site_label
_atom_site_fract_x
_atom_site_fract_y
_atom_site_fract_z
Pr1 0.1644 0.8340 0.9984
Pr2 0.3321 0.1660 0.0016
Pr3 0.1645 0.3305 0.9984
Pr4 0.8355 0.6695 0.0016
Pr5 0.8356 0.1660 0.0016
Pr6 0.4856 0.2428 0.7285
Pr7 0.5144 0.7572 0.2715
Pr8 0.6679 0.8340 0.9984
Pm1 0.0000 0.5000 0.5000
Nd1 0.0000 0.0000 0.0000
Nd2 0.0000 0.5000 0.0000
Nd3 0.5000 0.5000 0.0000
Nd4 0.5000 0.0000 0.0000
```

DOS(E_F) = 2.0247 states/eV/atom
E_form = 0.3811 eV/atom
SG = R-3m, No. 166

Entry 2:
Density functional theory data (GGA-PBE) for Pm2Pr5Nd5 after structural relaxation.

```
data_Pm2Pr5Nd5
_chemical_formula_sum 'Pm2 Pr5 Nd5'
_symmetry_space_group_name_H-M 'P 1'
_symmetry_Int_Tables_number 1
_cell_length_a 5.2189
_cell_length_b 8.2563
_cell_length_c 11.0866
_cell_angle_alpha 72.68
_cell_angle_beta 76.39
_cell_angle_gamma 71.58
loop_
_symmetry_equiv_pos_as_xyz
'x,y,z'
loop_
_atom_site_label
_atom_site_fract_x
_atom_site_fract_y
_atom_site_fract_z
Nd1 0.4174 0.9155 0.2496
Nd2 0.3331 0.3338 0.0000
Nd3 0.6669 0.6662 0.0000
Nd4 0.5000 0.5000 0.5000
Nd5 0.5826 0.0845 0.7504
Pr1 0.1658 0.1680 0.5004
Pr2 0.0000 0.0000 0.0000
Pr3 0.2504 0.7489 0.7502
Pr4 0.7496 0.2511 0.2498
Pr5 0.8342 0.8320 0.4996
Pm1 0.9167 0.4161 0.7505
Pm2 0.0833 0.5839 0.2495
```

DOS(E_F) = 1.6821 states/eV/atom
E_form = 0.0127 eV/atom
SG = C2/m, No. 12